A relaxed structure of Tc2NiMoO, computed with GGA+U.

a = 4.835 Å, b = 4.835 Å, c = 3.752 Å
α = 90.00°, β = 90.00°, γ = 90.00°
Space group P4/mmm (No. 123)
One atom of each set of equivalent atoms:
Tc (0.000, 0.500, 0.000) [2 per cell]
Ni (0.000, 0.000, 0.500) [1 per cell]
Mo (0.500, 0.500, 0.000) [1 per cell]
O (0.500, 0.500, 0.500) [1 per cell]

energy	-0.207	hartree per atom
N(E_F)	6.53	states/eV/cell